Record 1
Below is crystalline MgScBe at its relaxed geometry, with properties calculated at the PBE level.

Cell: 3.0896 3.0896 11.3525 Å, 90.00 90.00 90.00°
Fractional coordinates of all 6 atoms:
Mg 0.0000 0.0000 0.0000
Mg 0.5000 0.5000 0.5000
Sc 0.0000 0.0000 0.2812
Sc 0.5000 0.5000 0.7812
Be 0.0000 0.0000 0.6399
Be 0.5000 0.5000 0.1399

Values from the calculation:
The value obtained for the total magnetization is 0.0 Bohr magnetons per cell. The value obtained for the formation energy is 87 meV/atom. For the polymorph energy (0 for the lowest one), the calculation gives 0.26 kcal/mol of atoms.

---

Record 2
Below is crystalline Mg2ScBe at its relaxed geometry, with properties calculated at the PBE level.

Cell: 6.6565 6.6565 6.6565 Å, 90.00 90.00 90.00°
Fractional coordinates of all 16 atoms:
Mg 0.0000 0.0000 0.0000
Mg 0.0000 0.5000 0.5000
Mg 0.2500 0.2500 0.2500
Mg 0.2500 0.7500 0.7500
Mg 0.5000 0.0000 0.5000
Mg 0.5000 0.5000 0.0000
Mg 0.7500 0.2500 0.7500
Mg 0.7500 0.7500 0.2500
Sc 0.2500 0.2500 0.7500
Sc 0.2500 0.7500 0.2500
Sc 0.7500 0.2500 0.2500
Sc 0.7500 0.7500 0.7500
Be 0.0000 0.0000 0.5000
Be 0.0000 0.5000 0.0000
Be 0.5000 0.0000 0.0000
Be 0.5000 0.5000 0.5000

Values from the calculation:
The value obtained for the total magnetization is 0.0 Bohr magnetons per cell. The value obtained for the formation energy is 110 meV/atom.